1.
# PBE BiSb3Pb6, relaxed
data_BiSb3Pb6
_space_group_name_H-M_alt 'P 1'
_space_group_IT_number 1
_space_group_name_Hall 'P 1'
_cell_length_a 4.619
_cell_length_b 12.540
_cell_length_c 13.619
_cell_angle_alpha 119.50
_cell_angle_beta 90.00
_cell_angle_gamma 90.00
loop_
_atom_site_label
_atom_site_fract_x
_atom_site_fract_y
_atom_site_fract_z
_atom_site_occupancy
Bi1 0.750 0.084 0.704 1
Bi2 0.250 0.916 0.296 1
Sb1 0.750 0.503 0.860 1
Sb2 0.250 0.497 0.140 1
Sb3 0.750 0.662 0.468 1
Sb4 0.250 0.338 0.532 1
Sb5 0.750 0.192 0.126 1
Sb6 0.250 0.808 0.874 1
Pb1 0.750 0.523 0.641 1
Pb2 0.250 0.477 0.359 1
Pb3 0.750 0.914 0.062 1
Pb4 0.250 0.086 0.938 1
Pb5 0.750 0.342 0.984 1
Pb6 0.250 0.658 0.016 1
Pb7 0.750 0.704 0.261 1
Pb8 0.250 0.296 0.739 1
Pb9 0.750 0.106 0.471 1
Pb10 0.250 0.894 0.529 1
Pb11 0.750 0.838 0.730 1
Pb12 0.250 0.162 0.270 1
# E	-3.82	eV/atom
# N(E_F)	6.7	states/eV per cell
# raw formation energy	30	meV/atom

2.
# PBE BiSb4Pb5, relaxed
data_BiSb4Pb5
_space_group_name_H-M_alt 'P 1'
_space_group_IT_number 1
_space_group_name_Hall 'P 1'
_cell_length_a 4.648
_cell_length_b 8.521
_cell_length_c 10.316
_cell_angle_alpha 120.72
_cell_angle_beta 103.02
_cell_angle_gamma 90.00
loop_
_atom_site_label
_atom_site_fract_x
_atom_site_fract_y
_atom_site_fract_z
_atom_site_occupancy
Bi1 0.500 0.000 0.000 1
Sb1 0.671 0.060 0.341 1
Sb2 0.046 0.302 0.091 1
Sb3 0.329 0.940 0.659 1
Sb4 0.954 0.698 0.909 1
Pb1 0.204 0.337 0.408 1
Pb2 0.145 0.774 0.291 1
Pb3 0.855 0.226 0.709 1
Pb4 0.500 0.500 0.000 1
Pb5 0.796 0.663 0.592 1
# E	-3.83	eV/atom
# N(E_F)	4.2	states/eV per cell
# raw formation energy	66	meV/atom

3.
# PBE Bi6SbPb12, relaxed
data_Bi6SbPb12
_space_group_name_H-M_alt 'P 1'
_space_group_IT_number 1
_space_group_name_Hall 'P 1'
_cell_length_a 8.822
_cell_length_b 9.385
_cell_length_c 9.385
_cell_angle_alpha 69.34
_cell_angle_beta 71.74
_cell_angle_gamma 108.26
loop_
_atom_site_label
_atom_site_fract_x
_atom_site_fract_y
_atom_site_fract_z
_atom_site_occupancy
Bi1 0.429 0.484 0.194 1
Bi2 0.054 0.678 0.516 1
Bi3 0.376 0.806 0.678 1
Bi4 0.571 0.516 0.806 1
Bi5 0.946 0.322 0.484 1
Bi6 0.624 0.194 0.322 1
Sb1 0.000 0.000 0.000 1
Pb1 0.523 0.839 0.268 1
Pb2 0.684 0.893 0.839 1
Pb3 0.791 0.268 0.893 1
Pb4 0.477 0.161 0.732 1
Pb5 0.316 0.107 0.161 1
Pb6 0.209 0.732 0.107 1
Pb7 0.268 0.420 0.644 1
Pb8 0.087 0.356 0.064 1
Pb9 0.151 0.064 0.580 1
Pb10 0.732 0.580 0.356 1
Pb11 0.913 0.644 0.936 1
Pb12 0.849 0.936 0.420 1
# E	-3.74	eV/atom
# N(E_F)	10.8	states/eV per cell
# raw formation energy	44	meV/atom

4.
# PBE Bi2Sb2Pb, relaxed
data_Bi2Sb2Pb
_space_group_name_H-M_alt 'P 1'
_space_group_IT_number 1
_space_group_name_Hall 'P 1'
_cell_length_a 4.520
_cell_length_b 4.520
_cell_length_c 8.779
_cell_angle_alpha 75.08
_cell_angle_beta 75.08
_cell_angle_gamma 90.00
loop_
_atom_site_label
_atom_site_fract_x
_atom_site_fract_y
_atom_site_fract_z
_atom_site_occupancy
Pb1 0.000 0.000 0.000 1
Sb1 0.409 0.409 0.181 1
Sb2 0.591 0.591 0.819 1
Bi1 0.750 0.250 0.500 1
Bi2 0.250 0.750 0.500 1
# E	-3.75	eV/atom
# N(E_F)	3.0	states/eV per cell
# raw formation energy	195	meV/atom

5.
# PBE Bi2SbPb8, relaxed
data_Bi2SbPb8
_space_group_name_H-M_alt 'P 1'
_space_group_IT_number 1
_space_group_name_Hall 'P 1'
_cell_length_a 5.182
_cell_length_b 7.774
_cell_length_c 9.241
_cell_angle_alpha 103.91
_cell_angle_beta 106.28
_cell_angle_gamma 90.00
loop_
_atom_site_label
_atom_site_fract_x
_atom_site_fract_y
_atom_site_fract_z
_atom_site_occupancy
Bi1 0.228 0.648 0.457 1
Bi2 0.772 0.352 0.543 1
Sb1 0.500 0.000 0.000 1
Pb1 0.590 0.446 0.181 1
Pb2 0.322 0.095 0.644 1
Pb3 0.136 0.187 0.272 1
Pb4 0.044 0.731 0.089 1
Pb5 0.864 0.813 0.728 1
Pb6 0.678 0.905 0.356 1
Pb7 0.410 0.554 0.819 1
Pb8 0.956 0.269 0.911 1
# E	-3.75	eV/atom
# N(E_F)	4.8	states/eV per cell
# raw formation energy	32	meV/atom

6.
# PBE BiSb2Pb, relaxed
data_BiSb2Pb
_space_group_name_H-M_alt 'P 1'
_space_group_IT_number 1
_space_group_name_Hall 'P 1'
_cell_length_a 4.470
_cell_length_b 4.470
_cell_length_c 7.961
_cell_angle_alpha 73.70
_cell_angle_beta 73.70
_cell_angle_gamma 60.00
loop_
_atom_site_label
_atom_site_fract_x
_atom_site_fract_y
_atom_site_fract_z
_atom_site_occupancy
Pb1 0.500 0.500 0.500 1
Sb1 0.251 0.251 0.248 1
Sb2 0.749 0.749 0.752 1
Bi1 0.000 0.000 0.000 1
# E	-3.91	eV/atom
# N(E_F)	2.3	states/eV per cell
# raw formation energy	52	meV/atom

7.
# PBE Bi5SbPb5, relaxed
data_Bi5SbPb5
_space_group_name_H-M_alt 'P 1'
_space_group_IT_number 1
_space_group_name_Hall 'P 1'
_cell_length_a 7.344
_cell_length_b 7.344
_cell_length_c 10.103
_cell_angle_alpha 67.57
_cell_angle_beta 67.57
_cell_angle_gamma 49.96
loop_
_atom_site_label
_atom_site_fract_x
_atom_site_fract_y
_atom_site_fract_z
_atom_site_occupancy
Bi1 0.733 0.733 0.708 1
Bi2 0.502 0.502 0.339 1
Bi3 0.000 0.000 0.500 1
Bi4 0.498 0.498 0.661 1
Bi5 0.267 0.267 0.292 1
Sb1 0.000 0.000 0.000 1
Pb1 0.747 0.747 0.042 1
Pb2 0.829 0.829 0.334 1
Pb3 0.500 0.500 0.000 1
Pb4 0.171 0.171 0.666 1
Pb5 0.253 0.253 0.958 1
# E	-3.73	eV/atom
# N(E_F)	5.8	states/eV per cell
# raw formation energy	94	meV/atom

8.
# PBE Bi2SbPb6, relaxed
data_Bi2SbPb6
_space_group_name_H-M_alt 'P 1'
_space_group_IT_number 1
_space_group_name_Hall 'P 1'
_cell_length_a 4.402
_cell_length_b 9.183
_cell_length_c 8.665
_cell_angle_alpha 122.00
_cell_angle_beta 90.00
_cell_angle_gamma 90.00
loop_
_atom_site_label
_atom_site_fract_x
_atom_site_fract_y
_atom_site_fract_z
_atom_site_occupancy
Bi1 0.000 0.311 0.638 1
Bi2 0.000 0.673 0.362 1
Sb1 0.500 0.037 0.000 1
Pb1 0.500 0.594 0.000 1
Pb2 0.500 0.412 0.408 1
Pb3 0.500 0.003 0.592 1
Pb4 0.000 0.285 0.000 1
Pb5 0.000 0.727 0.769 1
Pb6 0.000 0.958 0.231 1
# E	-3.75	eV/atom
# N(E_F)	4.1	states/eV per cell
# raw formation energy	47	meV/atom

9.
# PBE Bi2Sb2Pb5, relaxed
data_Bi2Sb2Pb5
_space_group_name_H-M_alt 'P 1'
_space_group_IT_number 1
_space_group_name_Hall 'P 1'
_cell_length_a 7.006
_cell_length_b 9.016
_cell_length_c 11.114
_cell_angle_alpha 113.93
_cell_angle_beta 108.37
_cell_angle_gamma 90.00
loop_
_atom_site_label
_atom_site_fract_x
_atom_site_fract_y
_atom_site_fract_z
_atom_site_occupancy
Bi1 0.000 0.993 0.000 1
Bi2 0.500 0.493 0.000 1
Bi3 0.755 0.892 0.500 1
Bi4 0.245 0.392 0.500 1
Sb1 0.839 0.451 0.851 1
Sb2 0.161 0.599 0.149 1
Sb3 0.512 0.951 0.851 1
Sb4 0.488 0.099 0.149 1
Pb1 0.784 0.848 0.196 1
Pb2 0.216 0.652 0.804 1
Pb3 0.913 0.348 0.196 1
Pb4 0.087 0.152 0.804 1
Pb5 0.703 0.661 0.677 1
Pb6 0.297 0.984 0.323 1
Pb7 0.474 0.161 0.677 1
Pb8 0.526 0.484 0.323 1
Pb9 0.803 0.256 0.500 1
Pb10 0.197 0.756 0.500 1
# E	-3.78	eV/atom
# N(E_F)	8.3	states/eV per cell
# raw formation energy	61	meV/atom

10.
# PBE BiSb3Pb3, relaxed
data_BiSb3Pb3
_space_group_name_H-M_alt 'P 1'
_space_group_IT_number 1
_space_group_name_Hall 'P 1'
_cell_length_a 8.639
_cell_length_b 8.639
_cell_length_c 8.639
_cell_angle_alpha 64.78
_cell_angle_beta 64.78
_cell_angle_gamma 64.78
loop_
_atom_site_label
_atom_site_fract_x
_atom_site_fract_y
_atom_site_fract_z
_atom_site_occupancy
Bi1 0.328 0.328 0.328 1
Bi2 0.672 0.672 0.672 1
Sb1 0.530 0.303 0.936 1
Sb2 0.303 0.936 0.530 1
Sb3 0.936 0.530 0.303 1
Sb4 0.064 0.470 0.697 1
Sb5 0.697 0.064 0.470 1
Sb6 0.470 0.697 0.064 1
Pb1 0.819 0.381 0.107 1
Pb2 0.107 0.819 0.381 1
Pb3 0.381 0.107 0.819 1
Pb4 0.619 0.893 0.181 1
Pb5 0.893 0.181 0.619 1
Pb6 0.181 0.619 0.893 1
# E	-3.84	eV/atom
# N(E_F)	2.5	states/eV per cell
# raw formation energy	65	meV/atom

11.
# PBE BiSb2Pb3, relaxed
data_BiSb2Pb3
_space_group_name_H-M_alt 'P 1'
_space_group_IT_number 1
_space_group_name_Hall 'P 1'
_cell_length_a 6.482
_cell_length_b 6.621
_cell_length_c 12.064
_cell_angle_alpha 116.99
_cell_angle_beta 90.00
_cell_angle_gamma 119.31
loop_
_atom_site_label
_atom_site_fract_x
_atom_site_fract_y
_atom_site_fract_z
_atom_site_occupancy
Bi1 0.028 0.000 0.250 1
Bi2 0.972 0.000 0.750 1
Sb1 0.321 0.675 0.419 1
Sb2 0.355 0.675 0.919 1
Sb3 0.645 0.325 0.081 1
Sb4 0.679 0.325 0.581 1
Pb1 0.465 0.000 0.750 1
Pb2 0.535 0.000 0.250 1
Pb3 0.857 0.661 0.915 1
Pb4 0.195 0.339 0.585 1
Pb5 0.805 0.661 0.415 1
Pb6 0.143 0.339 0.085 1
# E	-3.82	eV/atom
# N(E_F)	4.7	states/eV per cell
# raw formation energy	54	meV/atom

12.
# PBE BiSbPb3, relaxed
data_BiSbPb3
_space_group_name_H-M_alt 'P 1'
_space_group_IT_number 1
_space_group_name_Hall 'P 1'
_cell_length_a 5.878
_cell_length_b 5.878
_cell_length_c 5.878
_cell_angle_alpha 90.00
_cell_angle_beta 90.00
_cell_angle_gamma 90.00
loop_
_atom_site_label
_atom_site_fract_x
_atom_site_fract_y
_atom_site_fract_z
_atom_site_occupancy
Pb1 0.000 0.500 0.000 1
Pb2 0.000 0.000 0.500 1
Pb3 0.500 0.000 0.000 1
Sb1 0.000 0.000 0.000 1
Bi1 0.500 0.500 0.500 1
# E	-3.33	eV/atom
# N(E_F)	2.3	states/eV per cell
# raw formation energy	499	meV/atom

Which value of E does entry 3 give? -3.74 eV/atom

Look up the E of the fifth one. -3.75 eV/atom